[1]
K2NbTeMo | GGA-PBE | relaxed

```
K2NbTeMo
1.0
6.294 0.000 0.000
0.000 4.755 0.000
0.000 0.000 6.294
Te Mo Nb K
1 1 1 2
direct
0.500 0.500 0.500
0.000 0.000 0.000
0.000 0.500 0.000
0.000 0.000 0.500
0.500 0.000 0.000
```

Properties
**Total energy**: -4.116 eV/atom
**Size of the total moment**: 0.20 μB/atom
**SG**: P4/mmm (123)
**Energy relative to the elements, uncorrected**: 1.132 eV per atom

---

[2]
UZnSn | GGA-PBE | relaxed

```
UZnSn
1.0
3.548 0.000 0.000
1.774 3.073 0.000
1.774 1.024 12.828
Zn Sn U
2 2 2
direct
0.144 0.144 0.567
0.856 0.856 0.433
0.578 0.578 0.266
0.422 0.422 0.734
0.315 0.315 0.056
0.685 0.685 0.944
```

Properties
**Total energy**: -5.370 eV/atom
**Size of the total moment**: 0.00 μB/atom
**SG**: R-3m (166)
**Energy relative to the elements**: 14.67 kJ/mol of atoms